Record 1
Computed, not measured: a relaxed MgBrN2 crystal at the PBE level of DFT.

Computed properties:
* ΔE to the lowest computed polymorph: 0.2601 eV per atom
* E_form (uncorrected): 1.131 eV/atom

Structure (CIF):
```
data_MgBrN2
_symmetry_space_group_name_H-M 'I -4 2 d'
_symmetry_Int_Tables_number 122
_symmetry_space_group_name_Hall 'I -4 2bw'
_cell_length_a 4.620
_cell_length_b 4.620
_cell_length_c 11.108
_cell_angle_alpha 90.00
_cell_angle_beta 90.00
_cell_angle_gamma 90.00
loop_
_atom_site_label
_atom_site_type_symbol
_atom_site_fract_x
_atom_site_fract_y
_atom_site_fract_z
_atom_site_occupancy
Mg1 Mg 0.000 0.000 0.000 1
Br1 Br 0.000 0.000 0.500 1
N1 N 0.245 0.250 0.625 1
```


Record 2
Computed, not measured: a relaxed ScOsRu2 crystal at the PBE level of DFT.

Computed properties:
* DFT formation energy: 0.145 eV per formula unit
* ΔE to the lowest computed polymorph: 0.1026 eV per atom

Structure (CIF):
```
data_ScOsRu2
_symmetry_space_group_name_H-M 'I m m 2'
_symmetry_Int_Tables_number 44
_symmetry_space_group_name_Hall 'I 2 -2'
_cell_length_a 3.006
_cell_length_b 4.511
_cell_length_c 9.022
_cell_angle_alpha 90.00
_cell_angle_beta 90.00
_cell_angle_gamma 90.00
loop_
_atom_site_label
_atom_site_type_symbol
_atom_site_fract_x
_atom_site_fract_y
_atom_site_fract_z
_atom_site_occupancy
Sc1 Sc 0.000 0.000 0.000 1
Os1 Os 0.000 0.500 0.754 1
Ru1 Ru 0.000 0.000 0.498 1
Ru2 Ru 0.000 0.500 0.251 1
```


Record 3
Computed, not measured: a relaxed Mn2AsIr crystal at the PBE level of DFT.

Computed properties:
* DFT formation energy: 0.505 eV per formula unit

Structure (CIF):
```
data_Mn2AsIr
_symmetry_space_group_name_H-M 'R -3 m'
_symmetry_Int_Tables_number 166
_symmetry_space_group_name_Hall '-R 3 2"'
_cell_length_a 2.7324
_cell_length_b 2.7324
_cell_length_c 23.9389
_cell_angle_alpha 90.00
_cell_angle_beta 90.00
_cell_angle_gamma 120.00
loop_
_atom_site_label
_atom_site_type_symbol
_atom_site_fract_x
_atom_site_fract_y
_atom_site_fract_z
_atom_site_occupancy
Mn1 Mn 0.0000 0.0000 0.2466 1
As1 As 0.0000 0.0000 0.5000 1
Ir1 Ir 0.0000 0.0000 0.0000 1
```


Record 4
Computed, not measured: a relaxed YThCCl crystal at the PBE level of DFT.

Computed properties:
* E_form (uncorrected): -1.014 eV/atom

Structure (CIF):
```
data_YThCCl
_symmetry_space_group_name_H-M 'C 1 m 1'
_symmetry_Int_Tables_number 8
_symmetry_space_group_name_Hall 'C -2y'
_cell_length_a 6.273
_cell_length_b 3.635
_cell_length_c 7.622
_cell_angle_alpha 90.00
_cell_angle_beta 105.88
_cell_angle_gamma 90.00
loop_
_atom_site_label
_atom_site_type_symbol
_atom_site_fract_x
_atom_site_fract_y
_atom_site_fract_z
_atom_site_occupancy
Y1 Y 0.000 0.000 0.000 1
Th1 Th 0.292 0.500 0.377 1
C1 C 0.394 0.000 0.181 1
Cl1 Cl 0.237 0.000 0.712 1
```